MnCuN2F PBE with a Hubbard U optimized geometry; E = -27.24 eV per cell; symmetry = P4/mmm (123); energy above the lowest structure with this stoichiometry = 0.002 eV per atom; calculated volume = 11.71 Å³ per atom; spin magnetization = 0.602 μB per atom
1.0
3.689 0.000 0.000
0.000 3.689 0.000
0.000 0.000 4.303
Mn Cu N F
1 1 2 1
Direct
0.000 0.000 0.000 Mn
0.500 0.500 0.500 Cu
0.000 0.500 0.500 N
0.500 0.000 0.500 N
0.500 0.500 0.000 F